Entry 1:
Ga2HgP: relaxed, PBE-GGA.

calculated volume	198.2	Å³/cell
ρ	6.22	g cm⁻³
space group	I-42d (122)
energy relative to the elements	0.099	eV/f.u.
E above lowest polymorph	0.000	eV/atom

a = 6.7118 Å, b = 6.7118 Å, c = 6.7118 Å
α = 124.27°, β = 124.27°, γ = 82.75°
Atoms (fractional coordinates):
1 Ga 0.0855 0.6250 0.9605
2 Ga 0.3750 0.3355 0.4605
3 Ga 0.6645 0.1250 0.0395
4 Ga 0.8750 0.9145 0.5395
5 Hg 0.2500 0.7500 0.5000
6 Hg 0.5000 0.5000 0.0000
7 P 0.0000 0.0000 0.0000
8 P 0.7500 0.2500 0.5000

---

Entry 2:
OsAu2Cl: relaxed, PBE-GGA.

calculated volume	86.0	Å³/cell
ρ	11.96	g cm⁻³
space group	Imm2 (44)
E_form (uncorrected)	0.515	eV/atom
E above lowest polymorph	0.018	eV/atom

a = 7.0577 Å, b = 7.0577 Å, c = 7.0577 Å
α = 156.97°, β = 141.18°, γ = 45.62°
Atoms (fractional coordinates):
1 Os 0.0000 0.0000 0.0000
2 Au 0.1805 0.6805 0.5000
3 Au 0.5362 0.5362 0.0000
4 Cl 0.8537 0.3537 0.5000